(1)
Here is a relaxed structure of PmYPdRu from Alexandria via LeMat-Bulk. Energies are from PBE-GGA.

```
PmYPdRu
1.0
0.000 3.501 3.501
3.501 0.000 3.501
3.501 3.501 0.000
Pm Y Pd Ru
1 1 1 1
Direct
0.000 0.000 0.000 Pm
0.500 0.500 0.500 Y
0.250 0.250 0.250 Pd
0.750 0.750 0.750 Ru
```

Values from the calculation:
E_tot = -6.961 eV per atom
Formation enthalpy at 0 K = -0.54 eV per atom

(2)
Here is a relaxed structure of PmZnPdRu from Alexandria via LeMat-Bulk. Energies are from PBE-GGA.

```
PmZnPdRu
1.0
0.000 3.303 3.303
3.303 0.000 3.303
3.303 3.303 0.000
Pm Zn Pd Ru
1 1 1 1
Direct
0.000 0.000 0.000 Pm
0.500 0.500 0.500 Zn
0.750 0.750 0.750 Pd
0.250 0.250 0.250 Ru
```

Values from the calculation:
E_tot = -5.389 eV per atom
Formation enthalpy at 0 K = -0.27 eV per atom

(3)
Here is a relaxed structure of Pm3Pd5S12 from Alexandria via LeMat-Bulk. Energies are from PBE-GGA.

```
Pm3Pd5S12
1.0
-7.569 7.569 7.569
7.569 -7.569 7.569
7.569 7.569 -7.569
Pm Pd S
12 20 48
Direct
0.125 0.250 0.375 Pm
0.125 0.375 0.750 Pm
0.250 0.375 0.125 Pm
0.250 0.875 0.625 Pm
0.375 0.125 0.250 Pm
0.375 0.750 0.125 Pm
0.625 0.250 0.875 Pm
0.625 0.875 0.750 Pm
0.750 0.125 0.375 Pm
0.750 0.625 0.875 Pm
0.875 0.625 0.250 Pm
0.875 0.750 0.625 Pm
0.000 0.000 0.000 Pd
0.000 0.000 0.500 Pd
0.000 0.500 0.000 Pd
0.000 0.500 0.500 Pd
0.125 0.750 0.875 Pd
0.125 0.875 0.250 Pd
0.250 0.125 0.875 Pd
0.250 0.625 0.375 Pd
0.375 0.250 0.625 Pd
0.375 0.625 0.750 Pd
0.500 0.000 0.000 Pd
0.500 0.000 0.500 Pd
0.500 0.500 0.000 Pd
0.500 0.500 0.500 Pd
0.625 0.375 0.250 Pd
0.625 0.750 0.375 Pd
0.750 0.375 0.625 Pd
0.750 0.875 0.125 Pd
0.875 0.125 0.750 Pd
0.875 0.250 0.125 Pd
0.033 0.204 0.123 S
0.033 0.328 0.910 S
0.082 0.704 0.672 S
0.082 0.877 0.410 S
0.090 0.623 0.418 S
0.090 0.967 0.672 S
0.123 0.033 0.204 S
0.123 0.590 0.918 S
0.172 0.204 0.582 S
0.172 0.467 0.590 S
0.204 0.123 0.033 S
0.204 0.582 0.172 S
0.296 0.328 0.918 S
0.296 0.467 0.377 S
0.328 0.910 0.033 S
0.328 0.918 0.296 S
0.377 0.296 0.467 S
0.377 0.582 0.910 S
0.410 0.082 0.877 S
0.410 0.828 0.533 S
0.418 0.090 0.623 S
0.418 0.828 0.796 S
0.467 0.377 0.296 S
0.467 0.590 0.172 S
0.533 0.410 0.828 S
0.533 0.623 0.704 S
0.582 0.172 0.204 S
0.582 0.910 0.377 S
0.590 0.172 0.467 S
0.590 0.918 0.123 S
0.623 0.418 0.090 S
0.623 0.704 0.533 S
0.672 0.082 0.704 S
0.672 0.090 0.967 S
0.704 0.533 0.623 S
0.704 0.672 0.082 S
0.796 0.418 0.828 S
0.796 0.877 0.967 S
0.828 0.533 0.410 S
0.828 0.796 0.418 S
0.877 0.410 0.082 S
0.877 0.967 0.796 S
0.910 0.033 0.328 S
0.910 0.377 0.582 S
0.918 0.123 0.590 S
0.918 0.296 0.328 S
0.967 0.672 0.090 S
0.967 0.796 0.877 S
```

Values from the calculation:
E_form (uncorrected) = -0.75 eV/atom
E_tot = -5.236 eV per atom

(4)
Here is a relaxed structure of PmPdS from Alexandria via LeMat-Bulk. Energies are from PBE-GGA.

```
PmPdS
1.0
3.672 -5.343 0.000
3.672 5.343 0.000
0.000 0.000 6.776
Pm Pd S
4 4 4
Direct
0.123 0.377 0.250 Pm
0.377 0.123 0.750 Pm
0.623 0.877 0.250 Pm
0.877 0.623 0.750 Pm
0.080 0.920 0.351 Pd
0.420 0.580 0.851 Pd
0.580 0.420 0.149 Pd
0.920 0.080 0.649 Pd
0.195 0.805 0.049 S
0.305 0.695 0.549 S
0.695 0.305 0.451 S
0.805 0.195 0.951 S
```

Values from the calculation:
E_form (uncorrected) = -1.28 eV/atom
E_tot = -5.971 eV per atom

(5)
Here is a relaxed structure of PmPdS from Alexandria via LeMat-Bulk. Energies are from PBE-GGA.

```
PmPdS
1.0
4.234 0.000 0.000
-2.117 3.666 0.000
0.000 0.000 3.836
Pm Pd S
1 1 1
Direct
0.000 0.000 0.000 Pm
0.667 0.333 0.500 Pd
0.333 0.667 0.500 S
```

Values from the calculation:
E_form (uncorrected) = -1.21 eV/atom
E_tot = -5.900 eV per atom

(6)
Here is a relaxed structure of Pm7PdS5 from Alexandria via LeMat-Bulk. Energies are from PBE-GGA.

```
Pm7PdS5
1.0
3.990 0.000 0.000
0.000 24.309 0.000
-1.986 0.000 6.650
Pm Pd S
14 2 10
Direct
0.037 0.250 0.074 Pm
0.137 0.536 0.275 Pm
0.137 0.964 0.275 Pm
0.310 0.176 0.621 Pm
0.310 0.324 0.621 Pm
0.412 0.606 0.824 Pm
0.412 0.894 0.824 Pm
0.588 0.106 0.176 Pm
0.588 0.394 0.176 Pm
0.690 0.676 0.379 Pm
0.690 0.824 0.379 Pm
0.863 0.036 0.725 Pm
0.863 0.464 0.725 Pm
0.963 0.750 0.926 Pm
0.301 0.750 0.601 Pd
0.699 0.250 0.399 Pd
0.048 0.642 0.097 S
0.048 0.858 0.097 S
0.226 0.071 0.451 S
0.226 0.429 0.451 S
0.500 0.000 0.000 S
0.500 0.500 0.000 S
0.774 0.571 0.549 S
0.774 0.929 0.549 S
0.952 0.142 0.903 S
0.952 0.358 0.903 S
```

Values from the calculation:
E_form (uncorrected) = -1.68 eV/atom
E_tot = -6.225 eV per atom